First-principles (PBE) data for a relaxed structure of LiInSbI2, as listed in the Alexandria database.

```
LiInSbI2
1.0
6.206 0.000 0.000
0.000 6.206 0.000
0.000 0.000 5.730
Li In Sb I
1 1 1 2
Direct
0.000 0.000 0.000
0.500 0.500 0.500
0.500 0.500 0.000
0.000 0.500 0.500
0.500 0.000 0.500
```

Results
Calculated density in g/cm3: 3.74
Relative energy among the computed polymorphs in eV/atom: 0.0642
E in eV per atom: -2.388